NdLu2H: optimized geometry, GGA-PBE.

POSCAR file:
```
NdLu2H
1.0
1.7145 0.9899 9.3947
-1.7145 0.9899 9.3947
0.0000 -1.9798 9.3947
Nd Lu H
1 2 1
direct
0.0000 0.0000 0.0000
0.1207 0.1207 0.1207
0.8793 0.8793 0.8793
0.5000 0.5000 0.5000
```

Summary:
V	23.92	Å³ per atom
mass density	8.59	g cm⁻³
density of states at the Fermi level	5.144	states/eV/cell
electronic total energy	-17.243	eV per cell
magnetization	0.002	μB/cell